CsNaS14 | PBE | optimized geometry

a b c (Å): 17.981 10.746 10.924
angles (deg): 90.00 114.39 90.00
Space group C2/c (No. 15)
Asymmetric unit:
Cs1 0.000 0.168 0.250 x4
Na1 0.250 0.250 0.000 x4
S1 0.005 0.395 0.658 x8
S2 0.060 0.108 0.985 x8
S3 0.088 0.293 0.988 x8
S4 0.174 0.097 0.609 x8
S5 0.199 0.398 0.553 x8
S6 0.201 0.013 0.445 x8
S7 0.248 0.260 0.318 x8

Calculated values
- formation energy without anion corrections (meV per atom) = -183

***

CsNa3S | PBE | optimized geometry

a b c (Å): 5.787 5.787 5.787
angles (deg): 90.00 90.00 90.00
Space group Pm-3m (No. 221)
Asymmetric unit:
Cs1 0.000 0.000 0.000 x1
Na1 0.000 0.500 0.500 x3
S1 0.500 0.500 0.500 x1

Calculated values
- energy above the lowest structure with this stoichiometry (eV per atom) = 0.000
- formation energy without anion corrections (meV per atom) = -400

***

Cs3NaS | PBE | optimized geometry

a b c (Å): 6.882 6.882 6.882
angles (deg): 90.00 90.00 90.00
Space group Pm-3m (No. 221)
Asymmetric unit:
Cs1 0.000 0.000 0.500 x3
Na1 0.500 0.500 0.500 x1
S1 0.000 0.000 0.000 x1

Calculated values
- energy above the lowest structure with this stoichiometry (eV per atom) = 0.000
- formation energy without anion corrections (meV per atom) = -546

***

CsNa3S2 | PBE | optimized geometry

a b c (Å): 16.686 4.585 10.495
angles (deg): 90.00 116.88 90.00
Space group C2/m (No. 12)
Asymmetric unit:
Cs1 0.125 0.000 0.091 x4
Na1 0.012 0.000 0.350 x4
Na2 0.130 0.500 0.705 x4
Na3 0.170 0.500 0.433 x4
S1 0.003 0.500 0.799 x4
S2 0.174 0.000 0.610 x4

Calculated values
- formation energy without anion corrections (meV per atom) = -1006